No. 1
A plane-wave DFT calculation with GGA-PBE was carried out for a relaxed SbIrCl2 crystal.

Cell lengths 5.4307, 12.6475, 3.3876 Å; angles 90.00, 90.00, 90.00 degrees
Sites, in units of the cell vectors:
Sb 0.0000 0.0000 0.0000
Sb 0.5000 0.5000 0.0000
Ir 0.0000 0.5000 0.0000
Ir 0.5000 0.0000 0.0000
Cl 0.0000 0.3696 0.5000
Cl 0.0000 0.6304 0.5000
Cl 0.5000 0.1304 0.5000
Cl 0.5000 0.8696 0.5000

Output
As for the space group: Cmmm. As for the crystal system: orthorhombic. The total magnetization is 0.000 μB/f.u. As for the offset from the most stable computed form: 353 meV per atom.

No. 2
A plane-wave DFT calculation with GGA-PBE was carried out for a relaxed SbIrCl2 crystal.

Cell lengths 3.2438, 3.2438, 8.7772 Å; angles 90.00, 90.00, 90.00 degrees
Sites, in units of the cell vectors:
Sb 0.0000 0.0000 0.0000
Ir 0.5000 0.5000 0.8238
Cl 0.0000 0.0000 0.6356
Cl 0.5000 0.5000 0.2248

Output
As for the space group: P4mm. As for the crystal system: tetragonal. The total magnetization is 0.000 μB/f.u. As for the offset from the most stable computed form: 550 meV per atom.

No. 3
A plane-wave DFT calculation with GGA-PBE was carried out for a relaxed SbIrCl4 crystal.

Cell lengths 5.6986, 5.6986, 5.6986 Å; angles 60.00, 60.00, 60.00 degrees
Sites, in units of the cell vectors:
Sb 0.0000 0.0000 0.0000
Ir 0.2500 0.2500 0.2500
Cl 0.1281 0.6240 0.6240
Cl 0.6240 0.1281 0.6240
Cl 0.6240 0.6240 0.1281
Cl 0.6240 0.6240 0.6240

Output
As for the space group: F-43m. As for the crystal system: cubic. The total magnetization is 3.200 μB/f.u.

No. 4
A plane-wave DFT calculation with GGA-PBE was carried out for a relaxed SbIrCl2 crystal.

Cell lengths 3.2370, 5.2782, 12.2515 Å; angles 90.00, 90.00, 90.00 degrees
Sites, in units of the cell vectors:
Sb 0.0000 0.0000 0.0000
Sb 0.5000 0.5000 0.5000
Ir 0.0000 0.0000 0.5000
Ir 0.5000 0.5000 0.0000
Cl 0.0000 0.5000 0.1428
Cl 0.0000 0.5000 0.8572
Cl 0.5000 0.0000 0.3572
Cl 0.5000 0.0000 0.6428

Output
As for the space group: Immm. As for the crystal system: orthorhombic. The total magnetization is 0.022 μB/f.u. As for the offset from the most stable computed form: 545 meV per atom.

No. 5
A plane-wave DFT calculation with GGA-PBE was carried out for a relaxed SbIrCl2 crystal.

Cell lengths 3.1857, 3.1857, 27.8460 Å; angles 90.00, 90.00, 120.00 degrees
Sites, in units of the cell vectors:
Sb 0.0000 0.0000 0.0000
Sb 0.3333 0.6667 0.6667
Sb 0.6667 0.3333 0.3333
Ir 0.0000 0.0000 0.5000
Ir 0.3333 0.6667 0.1667
Ir 0.6667 0.3333 0.8333
Cl 0.0000 0.0000 0.4184
Cl 0.0000 0.0000 0.5816
Cl 0.3333 0.6667 0.0851
Cl 0.3333 0.6667 0.2482
Cl 0.6667 0.3333 0.7518
Cl 0.6667 0.3333 0.9149

Output
As for the space group: R-3m. As for the crystal system: trigonal. The total magnetization is 0.000 μB/f.u. As for the offset from the most stable computed form: 698 meV per atom.

No. 6
A plane-wave DFT calculation with GGA-PBE was carried out for a relaxed SbIr2Cl crystal.

Cell lengths 2.9992, 5.2312, 8.9918 Å; angles 90.00, 90.00, 90.00 degrees
Sites, in units of the cell vectors:
Sb 0.0000 0.0000 0.0000
Sb 0.5000 0.5000 0.5000
Ir 0.0000 0.5000 0.2590
Ir 0.0000 0.5000 0.7410
Ir 0.5000 0.0000 0.2410
Ir 0.5000 0.0000 0.7590
Cl 0.0000 0.0000 0.5000
Cl 0.5000 0.5000 0.0000

Output
As for the space group: Immm. As for the crystal system: orthorhombic. The total magnetization is 0.000 μB/f.u. As for the offset from the most stable computed form: 463 meV per atom.

| no. | DOS(E_F) (states/eV/cell) | uncorrected energy (eV per atom) | formation energy (no corrections) (meV per atom) |
| --- | --- | --- | --- |
| 1 | 3.4 | -4.232 | -63 |
| 2 | 2.6 | -4.034 | 135 |
| 3 | 9.5 | -2.197 | 1198 |
| 4 | 3.8 | -4.039 | 130 |
| 5 | 9.0 | -3.886 | 283 |
| 6 | 6.0 | -5.331 | 592 |